# 1
NaGeTe2O6 (PBE, relaxed); crystal system = monoclinic; DFT total energy = -5.37 eV per atom; formation energy without anion corrections = -1.1752 eV/atom
1.0
-1.461 -5.154 -1.249
7.453 -2.233 -2.924
-1.487 -2.309 7.845
O Te Ge Na
12 4 2 2
Cartesian
-0.859 -2.291 5.264
3.154 -8.764 3.005
0.204 -4.877 6.128
4.325 -6.183 3.099
5.364 -7.404 -1.591
0.008 -4.366 3.350
1.911 -2.781 4.942
1.352 -0.932 0.667
4.498 -5.330 0.322
0.181 -3.513 0.574
2.594 -6.914 -1.269
4.301 -4.818 -2.456
2.252 -7.126 3.398
-0.028 -5.159 1.519
2.254 -2.569 0.274
4.534 -4.536 2.153
4.168 -6.117 -1.222
0.338 -3.579 4.895
6.336 -3.528 -2.331
-1.831 -6.168 6.003

# 2
YZr2Cd2 (PBE, relaxed); crystal system = tetragonal; ΔH_f (0 K) = 12 meV/atom; distance to the lowest polymorph of the same formula = 0 meV per atom; DFT total energy = -5.07 eV per atom
1.0
-5.649 5.083 -3.595
-5.077 -0.951 6.632
1.473 2.709 1.516
Zr Y Cd
4 2 4
Cartesian
-7.261 3.966 3.863
-3.616 1.578 4.588
-1.991 2.876 0.691
-5.636 5.263 -0.034
-5.363 2.066 1.519
0.000 0.000 0.000
-4.205 3.073 -1.406
-8.113 3.831 1.038
-6.520 1.059 4.444
-2.612 0.301 2.000

# 3
Sb2AsPb (PBE, relaxed); crystal system = tetragonal; distance to the lowest polymorph of the same formula = 230 meV per atom; DFT total energy = -3.90 eV per atom; formation energy without anion corrections = 0.2547 eV/atom
1.0
-3.986 -3.819 3.270
2.141 -4.978 3.435
1.205 6.244 -0.854
Sb Pb As
2 1 1
Cartesian
-0.923 -4.399 3.353
0.000 0.000 0.000
-1.852 -0.987 2.884
1.211 -1.567 2.967

# 4
K2MgBe (PBE, relaxed); crystal system = trigonal; ΔH_f (0 K) = 800 meV/atom; distance to the lowest polymorph of the same formula = 310 meV per atom; DFT total energy = -1.08 eV per atom
1.0
-2.386 11.633 0.150
-4.910 10.502 -2.576
-5.868 10.258 1.179
Be Mg K
1 1 2
Cartesian
-9.873 24.295 -0.935
-3.291 8.098 -0.312
-6.443 15.855 -0.610
-0.139 0.342 -0.013

# 5
AlTlCo2 (PBE, relaxed); crystal system = trigonal; ΔH_f (0 K) = 319 meV/atom; distance to the lowest polymorph of the same formula = 242 meV per atom; DFT total energy = -4.76 eV per atom
1.0
-7.870 -0.487 -2.291
-6.911 -3.137 -3.133
-7.749 -2.693 -0.349
Tl Al Co
1 1 2
Cartesian
-5.632 -1.579 -1.443
-16.897 -4.738 -4.329
-11.093 -3.110 -2.842
-0.172 -0.048 -0.044

# 6
YTlP2 (PBE, relaxed); crystal system = orthorhombic; ΔH_f (0 K) = -484 meV/atom; distance to the lowest polymorph of the same formula = 112 meV per atom; DFT total energy = -5.40 eV per atom
1.0
-6.380 1.284 0.308
-6.004 -1.882 -1.690
-0.273 -2.160 3.372
P Tl Y
2 1 1
Cartesian
-9.236 -1.788 1.096
-11.954 -0.845 -0.909
-6.651 -1.662 1.384
-3.526 -0.439 0.032

# 7
GaRe (PBE, relaxed); crystal system = orthorhombic; ΔH_f (0 K) = 391 meV/atom; DFT total energy = -7.35 eV per atom
1.0
3.205 0.000 0.000
0.000 10.207 0.000
0.000 0.000 6.106
Re Ga
6 6
Cartesian
0.000 2.019 2.748
0.000 7.123 5.801
0.000 8.188 2.748
0.000 3.085 5.801
1.602 5.104 5.700
1.602 0.000 2.647
1.602 3.736 1.756
1.602 6.471 1.756
1.602 1.367 4.809
1.602 8.840 4.809
0.000 0.000 0.570
0.000 5.104 3.623

# 8
Mg2Ti (PBE, relaxed); crystal system = triclinic; ΔH_f (0 K) = 138 meV/atom; DFT total energy = -3.56 eV per atom
1.0
7.386 -2.517 -1.421
1.072 2.636 0.784
-6.093 5.803 5.130
Mg Ti
2 1
Cartesian
1.300 2.058 0.897
-2.753 5.713 4.799
-1.263 2.568 2.457

# 9
La3ScBeS7 (PBE, relaxed); crystal system = hexagonal; DFT total energy = -6.39 eV per atom; formation energy without anion corrections = -1.9119 eV/atom
1.0
-10.121 -1.433 -0.675
6.429 -7.420 -2.923
-0.055 -2.280 5.668
S Sc Be La
14 2 2 6
Cartesian
2.638 -5.765 1.140
-4.526 -1.641 -0.563
-4.355 -7.681 -1.246
4.361 -8.815 1.675
-4.632 -4.570 1.415
0.804 -8.450 0.042
0.913 -5.426 -2.168
-2.357 -9.219 1.448
-0.791 -5.625 1.163
0.604 -3.618 3.729
-1.394 -2.080 1.036
-6.360 -4.326 -1.661
-2.931 -4.465 -1.684
-8.111 -2.484 0.808
-0.029 -1.219 3.030
-0.002 -0.079 0.196
-4.613 -3.774 -0.566
0.877 -6.910 1.519
-1.351 -6.948 -1.224
-6.687 -3.794 3.286
-2.395 -4.142 3.188
-4.852 -7.416 1.847
1.107 -3.674 0.117
2.942 -7.296 -1.322

# 10
TbBe4 (PBE, relaxed); crystal system = cubic; ΔH_f (0 K) = 2334 meV/atom; DFT total energy = -1.57 eV per atom
1.0
-4.466 0.655 2.088
-1.814 -3.761 -2.702
1.223 -3.188 3.616
Be Tb
4 1
Cartesian
0.000 0.000 0.000
-1.621 -1.267 2.852
-0.296 -3.474 0.457
-3.140 -1.553 -0.307
-2.529 -3.147 1.501

# 11
Mn2FeGeH (PBE, relaxed); crystal system = tetragonal; DFT total energy = -7.07 eV per atom
1.0
-0.369 3.632 0.682
-0.457 -0.725 3.613
3.610 0.271 0.511
Mn H Ge Fe
2 1 1 1
Cartesian
-0.185 1.816 0.341
-0.228 -0.363 1.807
0.000 0.000 0.000
1.392 1.589 2.403
1.805 0.136 0.255

# 12
Dy4TlIr2 (PBE, relaxed); crystal system = tetragonal; ΔH_f (0 K) = -540 meV/atom; distance to the lowest polymorph of the same formula = 52 meV per atom; DFT total energy = -6.04 eV per atom
1.0
7.204 0.000 -2.622
-3.568 6.299 -2.522
-0.068 0.000 7.666
Dy Ir Tl
8 4 2
Cartesian
0.839 1.610 5.223
-0.382 2.518 1.701
4.441 1.540 3.912
-2.160 3.781 4.216
-2.126 5.668 0.383
3.220 0.631 0.390
1.567 4.689 4.192
1.601 4.759 0.359
5.861 0.723 1.171
-0.508 5.576 2.612
-0.474 3.873 -1.221
2.259 2.426 2.482
3.602 3.150 -1.311
0.000 0.000 0.000

# 13
GdHoGeRu (PBE, relaxed); crystal system = cubic; ΔH_f (0 K) = -465 meV/atom; DFT total energy = -8.60 eV per atom
1.0
4.942 0.000 0.000
2.471 4.280 0.000
2.471 1.427 4.035
Gd Ru Ge Ho
1 1 1 1
Cartesian
4.942 2.853 2.018
7.413 4.280 3.026
2.471 1.427 1.009
0.000 0.000 0.000

# 14
Cs2HoZn3F12 (PBE, relaxed); crystal system = trigonal; DFT total energy = -4.56 eV per atom; formation energy without anion corrections = -2.7519 eV/atom
1.0
7.757 0.181 0.128
3.988 6.655 0.128
3.988 2.321 6.239
F Cs Zn Ho
12 2 3 1
Cartesian
6.146 6.229 4.418
3.579 2.083 4.113
9.587 2.929 2.077
7.281 6.889 2.077
3.579 4.570 0.607
8.451 4.919 0.680
5.742 0.855 0.607
12.154 4.588 5.889
12.154 7.074 2.383
7.281 4.238 5.815
9.991 8.302 5.889
8.451 2.268 4.418
6.057 3.526 2.501
9.676 5.632 3.995
3.878 0.090 0.064
1.994 1.161 3.119
1.994 3.328 0.064
0.000 0.000 0.000

# 15
SmLu3 (PBE, relaxed); crystal system = hexagonal; ΔH_f (0 K) = 6 meV/atom; distance to the lowest polymorph of the same formula = 0 meV per atom; DFT total energy = -4.56 eV per atom
1.0
7.121 0.000 0.000
-3.560 6.167 0.000
0.000 0.000 5.575
Sm Lu
2 6
Cartesian
3.560 2.056 1.394
0.000 4.111 4.182
0.000 2.037 1.394
1.796 5.148 1.394
-1.796 5.148 1.394
1.764 1.018 4.182
3.560 4.130 4.182
5.357 1.018 4.182

# 16
FeCl3 (PBE, relaxed); crystal system = trigonal; DFT total energy = -3.15 eV per atom; formation energy without anion corrections = 0.3518 eV/atom
1.0
4.802 0.105 0.210
-1.705 4.490 0.210
-1.705 -2.531 3.715
Cl Fe
3 1
Cartesian
1.548 -1.213 1.962
0.000 0.000 0.000
1.548 2.297 0.210
-1.705 0.980 1.962